Density functional theory data (PBE) for an optimized crystal structure of Hf2NpPb.

a b c (Å): 3.2889 3.2889 30.5216
angles (deg): 90.00 90.00 120.00
Space group R-3m (No. 166, hexagonal axes)
Asymmetric unit:
Hf: 0.0000 0.0000 0.2487 x6
Np: 0.0000 0.0000 0.5000 x3
Pb: 0.0000 0.0000 0.0000 x3

Output
- formation energy (meV per atom) = 251
- excess energy over the best structure of this formula in the dataset (meV/atom) = 53.1
- E_tot (eV/f.u.) = -35.55
- D(E_F) (states/eV/atom) = 1.510
- calculated volume (Å³/cell) = 286



Density functional theory data (PBE) for an optimized crystal structure of TlTeCl2.

a b c (Å): 4.1819 4.1819 14.4941
angles (deg): 90.00 90.00 90.00
Space group I-4m2 (No. 119)
Asymmetric unit:
Tl: 0.0000 0.0000 0.0000 x2
Te: 0.0000 0.5000 0.2500 x2
Cl: 0.0000 0.0000 0.5000 x2
Cl: 0.0000 0.5000 0.7500 x2

Output
- excess energy over the best structure of this formula in the dataset (meV/atom) = 179.5
- E_tot (eV/f.u.) = -10.34
- D(E_F) (states/eV/atom) = 0.915
- calculated volume (Å³/cell) = 253



Density functional theory data (PBE) for an optimized crystal structure of NaSn2Te.

a b c (Å): 9.0828 9.0828 6.1727
angles (deg): 90.00 90.00 90.00
Space group I-42d (No. 122)
Asymmetric unit:
Na: 0.0000 0.0000 0.0000 x4
Sn: 0.2192 0.2500 0.6250 x8
Te: 0.0000 0.0000 0.5000 x4

Output
- E_tot (eV/f.u.) = -12.95
- D(E_F) (states/eV/atom) = 0.542
- calculated volume (Å³/cell) = 509



Density functional theory data (PBE) for an optimized crystal structure of Dy2TmZn2Ge2.

a b c (Å): 4.1118 4.1118 32.9815
angles (deg): 90.00 90.00 120.00
Space group R-3m (No. 166, hexagonal axes)
Asymmetric unit:
Dy: 0.0000 0.0000 0.1234 x6
Tm: 0.0000 0.0000 0.0000 x3
Zn: 0.0000 0.0000 0.3877 x6
Ge: 0.0000 0.0000 0.2647 x6

Output
- formation energy (meV per atom) = -428
- E_tot (eV/f.u.) = -28.46
- D(E_F) (states/eV/atom) = 0.774
- calculated volume (Å³/cell) = 483



Density functional theory data (PBE) for an optimized crystal structure of Cs2TaSiF6.

a b c (Å): 6.1826 6.1826 11.7827
angles (deg): 90.00 90.00 90.00
Space group I4/mmm (No. 139)
Asymmetric unit:
Cs: 0.0000 0.5000 0.2500 x4
Ta: 0.0000 0.0000 0.0000 x2
Si: 0.0000 0.0000 0.5000 x2
F: 0.0000 0.0000 0.1672 x4
F: 0.2328 0.2328 0.0000 x8

Output
- E_tot (eV/f.u.) = -52.80
- D(E_F) (states/eV/atom) = 0.018
- calculated volume (Å³/cell) = 450



Density functional theory data (PBE) for an optimized crystal structure of NpGaSnSb.

a b c (Å): 11.2825 4.2855 4.2850
angles (deg): 90.00 112.24 90.00
Space group Cm (No. 8)
Asymmetric unit:
Np: 0.0000 0.0000 0.0000 x2
Ga: 0.2502 0.5000 0.2500 x2
Sn: 0.2500 0.0000 0.7501 x2
Sb: 0.0001 0.5000 0.5001 x2

Output
- E_tot (eV/f.u.) = -24.61
- D(E_F) (states/eV/atom) = 1.941
- calculated volume (Å³/cell) = 192



Density functional theory data (PBE) for an optimized crystal structure of LiIn9Bi2.

a b c (Å): 4.9568 4.9568 13.3481
angles (deg): 90.00 90.00 90.00
Space group P4/mmm (No. 123)
Asymmetric unit:
Li: 0.0000 0.0000 0.0000 x1
In: 0.0000 0.5000 0.1509 x4
In: 0.0000 0.5000 0.5000 x2
In: 0.5000 0.5000 0.0000 x1
In: 0.5000 0.5000 0.3276 x2
Bi: 0.0000 0.0000 0.3221 x2

Output
- formation energy (meV per atom) = -28
- E_tot (eV/f.u.) = -34.65
- D(E_F) (states/eV/atom) = 0.284
- calculated volume (Å³/cell) = 328



Density functional theory data (PBE) for an optimized crystal structure of Pa2IrPb.

a b c (Å): 3.3207 3.3207 8.6293
angles (deg): 90.00 90.00 90.00
Space group P4/mmm (No. 123)
Asymmetric unit:
Pa: 0.0000 0.0000 0.2092 x2
Ir: 0.5000 0.5000 0.0000 x1
Pb: 0.5000 0.5000 0.5000 x1

Output
- formation energy (meV per atom) = -361
- excess energy over the best structure of this formula in the dataset (meV/atom) = 0.0
- E_tot (eV/f.u.) = -33.01
- D(E_F) (states/eV/atom) = 1.689
- calculated volume (Å³/cell) = 95



Density functional theory data (PBE) for an optimized crystal structure of ReTc2Hg.

a b c (Å): 6.3659 6.3659 6.3659
angles (deg): 90.00 90.00 90.00
Space group F-43m (No. 216)
Asymmetric unit:
Re: 0.0000 0.0000 0.0000 x4
Tc: 0.0000 0.0000 0.5000 x4
Tc: 0.2500 0.2500 0.2500 x4
Hg: 0.2500 0.2500 0.7500 x4

Output
- formation energy (meV per atom) = 802
- E_tot (eV/f.u.) = -30.27
- D(E_F) (states/eV/atom) = 1.196
- calculated volume (Å³/cell) = 258



Density functional theory data (PBE) for an optimized crystal structure of PmSc2PaAs4.

a b c (Å): 6.9000 4.0433 7.0098
angles (deg): 90.00 109.67 90.00
Space group P2/m (No. 10)
Asymmetric unit:
Pm: 0.0000 0.0000 0.0000 x1
Sc: 0.5000 0.0000 0.5000 x1
Sc: 0.5000 0.5000 0.0000 x1
Pa: 0.0000 0.5000 0.5000 x1
As: 0.2662 0.0000 0.7506 x2
As: 0.2678 0.5000 0.2629 x2

Output
- formation energy (meV per atom) = -1320
- E_tot (eV/f.u.) = -56.07
- D(E_F) (states/eV/atom) = 0.685
- calculated volume (Å³/cell) = 184



Density functional theory data (PBE) for an optimized crystal structure of Ce3Dy2Sb3.

a b c (Å): 9.1452 9.1452 6.4200
angles (deg): 90.00 90.00 120.00
Space group P6_3/mcm (No. 193)
Asymmetric unit:
Ce: 0.0000 0.2465 0.2500 x6
Dy: 0.3333 0.6667 0.0000 x4
Sb: 0.0000 0.3934 0.7500 x6

Output
- E_tot (eV/f.u.) = -45.83
- D(E_F) (states/eV/atom) = 3.199
- calculated volume (Å³/cell) = 465



Density functional theory data (PBE) for an optimized crystal structure of Pr2MgZn2Rh5.

a b c (Å): 9.8285 9.8285 3.7010
angles (deg): 90.00 90.00 90.00
Space group P4/mbm (No. 127)
Asymmetric unit:
Pr: 0.1758 0.3242 0.0000 x4
Mg: 0.0000 0.0000 0.0000 x2
Zn: 0.1221 0.6221 0.0000 x4
Rh: 0.0000 0.5000 0.5000 x2
Rh: 0.0664 0.7947 0.5000 x8

Output
- formation energy (meV per atom) = -498
- E_tot (eV/f.u.) = -55.44
- D(E_F) (states/eV/atom) = 0.465
- calculated volume (Å³/cell) = 358



Density functional theory data (PBE) for an optimized crystal structure of U2PdSeS4.

a b c (Å): 11.9503 3.7994 7.4102
angles (deg): 90.00 108.05 90.00
Space group C2/m (No. 12)
Asymmetric unit:
U: 0.1744 0.0000 0.2037 x4
Pd: 0.0000 0.0000 0.5000 x2
Se: 0.0000 0.5000 0.0000 x2
S: 0.1337 0.5000 0.4484 x4
S: 0.1744 0.0000 0.8217 x4

Output
- E_tot (eV/f.u.) = -55.98
- D(E_F) (states/eV/atom) = 1.281
- calculated volume (Å³/cell) = 320



Density functional theory data (PBE) for an optimized crystal structure of SiAs2Au.

a b c (Å): 5.8326 5.8326 11.0087
angles (deg): 90.00 90.00 90.00
Space group I-42d (No. 122)
Asymmetric unit:
Si: 0.0000 0.0000 0.0000 x4
As: 0.2317 0.2500 0.1250 x8
Au: 0.0000 0.0000 0.5000 x4

Output
- E_tot (eV/f.u.) = -17.91
- D(E_F) (states/eV/atom) = 0.408
- calculated volume (Å³/cell) = 375



Density functional theory data (PBE) for an optimized crystal structure of InSO5.

a b c (Å): 7.8930 6.7094 7.6430
angles (deg): 90.00 90.00 90.00
Space group Pnma (No. 62)
Asymmetric unit:
In: 0.1338 0.2500 0.2400 x4
S: 0.1241 0.7500 0.1300 x4
O: 0.0380 0.2500 0.9689 x4
O: 0.1126 0.7500 0.6448 x4
O: 0.1298 0.5739 0.2486 x8
O: 0.2262 0.2500 0.5135 x4

Output
- E_tot (eV/f.u.) = -39.56
- D(E_F) (states/eV/atom) = 0.206
- calculated volume (Å³/cell) = 405



Density functional theory data (PBE) for an optimized crystal structure of ScCo2As2.

a b c (Å): 7.1007 7.1007 2.9027
angles (deg): 90.00 90.00 90.00
Space group P4/mbm (No. 127)
Asymmetric unit:
Sc: 0.0000 0.0000 0.0000 x2
Co: 0.1353 0.3647 0.5000 x4
As: 0.1525 0.6525 0.0000 x4

Output
- formation energy (meV per atom) = -277
- E_tot (eV/f.u.) = -31.23
- D(E_F) (states/eV/atom) = 1.631
- calculated volume (Å³/cell) = 146



Density functional theory data (PBE) for an optimized crystal structure of La3Ce2PrP6.

a b c (Å): 7.2683 12.5886 7.2818
angles (deg): 90.00 109.43 90.00
Space group C2/m (No. 12)
Asymmetric unit:
La: 0.0000 0.0000 0.0000 x2
La: 0.0000 0.3344 0.0000 x4
Ce: 0.0000 0.1670 0.5000 x4
Pr: 0.0000 0.5000 0.5000 x2
P: 0.2400 0.0000 0.7401 x4
P: 0.2499 0.1700 0.2597 x8

Output
- formation energy (meV per atom) = -1542
- E_tot (eV/f.u.) = -82.40
- D(E_F) (states/eV/atom) = 0.887
- calculated volume (Å³/cell) = 628



Density functional theory data (PBE) for an optimized crystal structure of BiPI.

a b c (Å): 10.6646 8.1320 8.4874
angles (deg): 90.00 126.39 90.00
Space group Cm (No. 8)
Asymmetric unit:
Bi: 0.0000 0.2083 0.0000 x4
P: 0.0047 0.0000 0.2301 x2
P: 0.2875 0.5000 0.7339 x2
I: 0.2807 0.0000 0.9731 x2
I: 0.3006 0.5000 0.4449 x2

Output
- excess energy over the best structure of this formula in the dataset (meV/atom) = 294.4
- E_tot (eV/f.u.) = -10.43
- calculated volume (Å³/cell) = 593



Density functional theory data (PBE) for an optimized crystal structure of CdCoBr2.

a b c (Å): 3.6173 3.6173 29.2163
angles (deg): 90.00 90.00 120.00
Space group R-3m (No. 166, hexagonal axes)
Asymmetric unit:
Cd: 0.0000 0.0000 0.0000 x3
Co: 0.0000 0.0000 0.5000 x3
Br: 0.0000 0.0000 0.1158 x6

Output
- excess energy over the best structure of this formula in the dataset (meV/atom) = 16.3
- E_tot (eV/f.u.) = -11.80
- D(E_F) (states/eV/atom) = 1.591
- calculated volume (Å³/cell) = 331



Density functional theory data (PBE) for an optimized crystal structure of Li2TaIn.

a b c (Å): 11.1340 2.7100 5.6214
angles (deg): 90.00 116.99 90.00
Space group Cm (No. 8)
Asymmetric unit:
Li: 0.0000 0.0000 0.0000 x2
Li: 0.2425 0.0000 0.9508 x2
Ta: 0.4876 0.0000 0.4891 x2
In: 0.2441 0.5000 0.4574 x2

Output
- formation energy (meV per atom) = 282
- E_tot (eV/f.u.) = -17.29
- D(E_F) (states/eV/atom) = 0.583
- calculated volume (Å³/cell) = 151